P:
The following is a SCAN calculation of a PBEsol-optimized structure of BeCo2Se, from Alexandria via LeMat-Bulk.

Lattice parameters (Å, degrees): 3.0463 3.0463 4.7309 90.00 90.00 90.00
Last column: nearest neighbours and their distance in Å.
Space group P4mm (No. 99)
Asymmetric unit:
Be: 0.0000 0.0000 0.0000  6 Co 2.27-2.47
Co: 0.0000 0.0000 0.4789  2 Be 2.27-2.47, 4 Se 2.35
Co: 0.5000 0.5000 0.1623  4 Be 2.29, 2 Se 2.31-2.43
Se: 0.5000 0.5000 0.6751  6 Co 2.31-2.43

Q:
The following is a SCAN calculation of a PBEsol-optimized structure of BeCo2Se, from Alexandria via LeMat-Bulk.

Lattice parameters (Å, degrees): 2.8462 2.8462 5.3479 90.00 90.00 90.00
Last column: nearest neighbours and their distance in Å.
Space group P4/mmm (No. 123)
Asymmetric unit:
Be: 0.0000 0.0000 0.0000  8 Co 2.36
Co: 0.5000 0.5000 0.2317  4 Be 2.36, 4 Se 2.47, 1 Co 2.48
Se: 0.0000 0.0000 0.5000  8 Co 2.47, 2 Be 2.67

How do the energies compare? Relative to the most stable structure, in eV/atom: P 0.000; Q 0.036.

P:
The following is a SCAN calculation of a PBEsol-optimized structure of Ba2Ag, from Alexandria via LeMat-Bulk.

Lattice parameters (Å, degrees): 15.6336 15.6336 15.6336 90.00 90.00 90.00
Last column: nearest neighbours and their distance in Å.
Space group Fd-3m (No. 227, origin choice 2)
Asymmetric unit:
Ba: 0.0000 0.0000 0.0000  6 Ag 3.53
Ba: 0.0627 0.3750 0.8750  2 Ag 3.41
Ag: 0.0272 0.0272 0.2228  6 Ba 3.41-3.53

Q:
The following is a SCAN calculation of a PBEsol-optimized structure of Ba2Ag, from Alexandria via LeMat-Bulk.

Lattice parameters (Å, degrees): 4.0119 4.0119 30.8485 90.00 90.00 90.00
Last column: nearest neighbours and their distance in Å.
Space group I4_1/amd (No. 141, origin choice 2)
Asymmetric unit:
Ba: 0.0000 0.2500 0.3127  4 Ag 3.43
Ag: 0.0000 0.2500 0.8750  8 Ba 3.43

How do the energies compare? Relative to the most stable structure, in eV/atom: P 0.039; Q 0.000.

P:
The following is a SCAN calculation of a PBEsol-optimized structure of Tl2TePb, from Alexandria via LeMat-Bulk.

Lattice parameters (Å, degrees): 4.6655 4.6655 5.4845 90.00 90.00 90.00
Last column: nearest neighbours and their distance in Å.
Space group P4/mmm (No. 123)
Asymmetric unit:
Tl: 0.0000 0.5000 0.0000  4 Tl 3.30, 4 Pb 3.60, 4 Te 3.60
Te: 0.0000 0.0000 0.5000  4 Pb 3.30, 8 Tl 3.60
Pb: 0.5000 0.5000 0.5000  4 Te 3.30, 8 Tl 3.60

Q:
The following is a SCAN calculation of a PBEsol-optimized structure of Tl2TePb, from Alexandria via LeMat-Bulk.

Lattice parameters (Å, degrees): 4.3796 5.2584 10.3938 90.00 90.00 90.00
Last column: nearest neighbours and their distance in Å.
Space group Imm2 (No. 44)
Asymmetric unit:
Tl: 0.0000 0.0000 0.0000  4 Te 3.42, 4 Tl 3.49-3.62, 4 Pb 3.55-3.56
Tl: 0.0000 0.5000 0.2387  4 Te 3.40-3.70, 4 Pb 3.44, 4 Tl 3.49-3.62
Te: 0.0000 0.0000 0.4890  2 Pb 3.17, 6 Tl 3.40-3.42
Pb: 0.0000 0.5000 0.7685  2 Te 3.17, 6 Tl 3.44-3.55

How do the energies compare? Relative to the most stable structure, in eV/atom: P 0.000; Q 0.009.

P:
The following is a SCAN calculation of a PBEsol-optimized structure of CrCo2Os, from Alexandria via LeMat-Bulk.

Lattice parameters (Å, degrees): 2.9338 2.9338 5.3206 90.00 90.00 90.00
Last column: nearest neighbours and their distance in Å.
Space group P4mm (No. 99)
Asymmetric unit:
Cr: 0.0000 0.0000 0.0000  5 Co 2.38-2.43, 4 Os 2.52
Co: 0.0000 0.0000 0.5527  4 Co 2.35, 1 Cr 2.38, 4 Os 2.57
Co: 0.5000 0.5000 0.7612  4 Co 2.35, 4 Cr 2.43, 1 Os 2.62
Os: 0.5000 0.5000 0.2690  4 Cr 2.52, 6 Co 2.57-2.70

Q:
The following is a SCAN calculation of a PBEsol-optimized structure of CrCo2Os, from Alexandria via LeMat-Bulk.

Lattice parameters (Å, degrees): 3.5222 3.5222 3.6250 90.00 90.00 90.00
Last column: nearest neighbours and their distance in Å.
Space group P4/mmm (No. 123)
Asymmetric unit:
Cr: 0.0000 0.0000 0.0000  4 Os 2.49, 8 Co 2.53
Co: 0.0000 0.5000 0.5000  4 Co 2.49, 4 Os 2.53, 4 Cr 2.53
Os: 0.5000 0.5000 0.0000  4 Cr 2.49, 8 Co 2.53

R:
The following is a SCAN calculation of a PBEsol-optimized structure of CrCo2Os, from Alexandria via LeMat-Bulk.

Lattice parameters (Å, degrees): 3.5166 3.5166 7.2620 90.00 90.00 90.00
Last column: nearest neighbours and their distance in Å.
Space group I4/mmm (No. 139)
Asymmetric unit:
Cr: 0.0000 0.0000 0.0000  4 Os 2.49, 8 Co 2.53
Co: 0.0000 0.5000 0.2500  4 Co 2.49, 4 Cr 2.53, 4 Os 2.53
Os: 0.0000 0.0000 0.5000  4 Cr 2.49, 8 Co 2.53

How do the energies compare? Relative to the most stable structure, in eV/atom: P 0.074; Q 0.000; R 0.064.